TcAs2SeBr (PBE-GGA, optimized geometry); ρ = 5.84 g/cm3; uncorrected energy = -23.2 eV per cell; excess energy over the best structure of this formula in the dataset = 0.0000 eV per atom; formation energy without anion corrections = 0.3316 eV/atom; volume = 115.74 Å³/cell; Fermi-level density of states = 4.6 states/eV per cell
1.0
4.9124 0.0000 0.0000
0.0000 4.9124 0.0000
0.0000 0.0000 4.7961
Tc As Se Br
1 2 1 1
direct
0.0000 0.0000 0.0000
0.0000 0.5000 0.0000
0.5000 0.0000 0.0000
0.0000 0.0000 0.5000
0.5000 0.5000 0.5000

=====

Rb2SiNi (PBE-GGA, optimized geometry); ρ = 2.37 g/cm3; uncorrected energy = -24.7 eV per cell; formation energy without anion corrections = 0.1921 eV/atom; volume = 361.71 Å³/cell; Fermi-level density of states = 6.0 states/eV per cell
1.0
-6.4299 6.4299 2.1872
6.4299 -6.4299 2.1872
6.4299 6.4299 -2.1872
Rb Si Ni
4 2 2
direct
0.3750 0.1615 0.2865
0.8385 0.1250 0.2135
0.8750 0.0885 0.7135
0.9115 0.6250 0.7865
0.2500 0.7500 0.5000
0.5000 0.5000 0.0000
0.0000 0.0000 0.0000
0.7500 0.2500 0.5000

=====

LiScReCl2 (PBE-GGA, optimized geometry); ρ = 4.67 g/cm3; uncorrected energy = -22.2 eV per cell; formation energy without anion corrections = 0.4399 eV/atom; volume = 109.98 Å³/cell; Fermi-level density of states = 1.7 states/eV per cell
1.0
4.3271 0.0000 0.0000
0.0000 4.3271 0.0000
0.0000 0.0000 5.8742
Li Sc Re Cl
1 1 1 2
direct
0.0000 0.0000 0.0000
0.0000 0.0000 0.5000
0.5000 0.5000 0.5000
0.0000 0.5000 0.0000
0.5000 0.0000 0.0000

=====

Rb3Hg9Pt2 (PBE-GGA, optimized geometry); ΔE_f = -0.2142 eV per atom; ρ = 9.60 g/cm3; uncorrected energy = -20.7 eV per cell; volume = 424.14 Å³/cell; Fermi-level density of states = 4.9 states/eV per cell
1.0
7.3638 0.0000 0.0000
-3.6819 6.3773 0.0000
0.0000 0.0000 9.0317
Rb Hg Pt
3 9 2
direct
0.0000 0.0000 0.0000
0.3333 0.6667 0.3320
0.6667 0.3333 0.6680
0.0000 0.5000 0.0000
0.1499 0.2997 0.6450
0.1499 0.8501 0.6450
0.2997 0.1499 0.3550
0.5000 0.0000 0.0000
0.5000 0.5000 0.0000
0.7003 0.8501 0.6450
0.8501 0.1499 0.3550
0.8501 0.7003 0.3550
0.3333 0.6667 0.8109
0.6667 0.3333 0.1891

=====

Rb2BeCr (PBE-GGA, optimized geometry); ΔE_f = 0.9883 eV per atom; ρ = 1.94 g/cm3; uncorrected energy = -22.7 eV per cell; volume = 398.02 Å³/cell; Fermi-level density of states = 7.2 states/eV per cell
1.0
-6.4092 6.4092 2.4224
6.4092 -6.4092 2.4224
6.4092 6.4092 -2.4224
Rb Be Cr
4 2 2
direct
0.3750 0.0514 0.1764
0.8014 0.6250 0.6764
0.8750 0.1986 0.8236
0.9486 0.1250 0.3236
0.0000 0.0000 0.0000
0.7500 0.2500 0.5000
0.2500 0.7500 0.5000
0.5000 0.5000 0.0000

=====

BeTeAs2 (PBE-GGA, optimized geometry); ρ = 5.39 g/cm3; uncorrected energy = -15.2 eV per cell; excess energy over the best structure of this formula in the dataset = 0.1901 eV per atom; formation energy without anion corrections = 0.2445 eV/atom; volume = 88.20 Å³/cell; Fermi-level density of states = 1.8 states/eV per cell
1.0
3.1007 0.0000 0.0000
0.0000 3.1007 0.0000
0.0000 0.0000 9.1738
Be Te As
1 1 2
direct
0.0000 0.0000 0.0000
0.0000 0.0000 0.5000
0.5000 0.5000 0.1365
0.5000 0.5000 0.8635

=====

TiSe4 (PBE-GGA, optimized geometry); ρ = 5.06 g/cm3; uncorrected energy = -21.9 eV per cell; formation energy without anion corrections = -0.0222 eV/atom; volume = 119.29 Å³/cell; Fermi-level density of states = 6.5 states/eV per cell
1.0
4.9226 0.0000 0.0000
0.0000 4.9226 0.0000
0.0000 0.0000 4.9226
Ti Se
1 4
direct
0.0000 0.0000 0.0000
0.0000 0.0000 0.5000
0.0000 0.5000 0.0000
0.5000 0.0000 0.0000
0.5000 0.5000 0.5000

=====

Li4GeO5 (PBE-GGA, optimized geometry); ρ = 3.40 g/cm3; uncorrected energy = -52.8 eV per cell; formation energy without anion corrections = -1.5734 eV/atom; volume = 88.23 Å³/cell; Fermi-level density of states = 4.1 states/eV per cell
1.0
-3.2936 3.2936 2.0334
3.2936 -3.2936 2.0334
3.2936 3.2936 -2.0334
Li Ge O
4 1 5
direct
0.0866 0.3040 0.3907
0.3040 0.9134 0.2174
0.6960 0.0866 0.7826
0.9134 0.6960 0.6093
0.5000 0.5000 0.0000
0.0000 0.0000 0.0000
0.2280 0.5822 0.8101
0.4178 0.2280 0.6458
0.5822 0.7720 0.3542
0.7720 0.4178 0.1899

=====

TiHgBr2 (PBE-GGA, optimized geometry); ρ = 5.11 g/cm3; uncorrected energy = -14.6 eV per cell; excess energy over the best structure of this formula in the dataset = 0.0011 eV per atom; formation energy without anion corrections = -0.7599 eV/atom; volume = 132.75 Å³/cell; Fermi-level density of states = 2.2 states/eV per cell
1.0
1.8496 1.0679 11.2018
-1.8496 1.0679 11.2018
0.0000 -2.1357 11.2018
Ti Hg Br
1 1 2
direct
0.0000 0.0000 0.0000
0.5000 0.5000 0.5000
0.3814 0.3814 0.3814
0.6186 0.6186 0.6186

=====

ErPd3Au6 (PBE-GGA, optimized geometry); ΔE_f = -0.2817 eV per atom; ρ = 15.02 g/cm3; uncorrected energy = -85.2 eV per cell; excess energy over the best structure of this formula in the dataset = 0.0726 eV per atom; volume = 369.00 Å³/cell; Fermi-level density of states = 7.9 states/eV per cell
1.0
3.9263 -8.7861 0.0000
3.9263 8.7861 0.0000
0.0000 0.0000 5.3484
Er Pd Au
2 6 12
direct
0.1538 0.8462 0.5000
0.8462 0.1538 0.0000
0.0586 0.2983 0.5000
0.2983 0.0586 0.0000
0.3969 0.6031 0.7045
0.6031 0.3969 0.2045
0.7017 0.9414 0.5000
0.9414 0.7017 0.0000
0.0040 0.9960 0.2758
0.0778 0.5428 0.8229
0.2817 0.3532 0.0784
0.3259 0.6741 0.2449
0.3532 0.2817 0.5784
0.4572 0.9222 0.8229
0.5428 0.0778 0.3229
0.6468 0.7183 0.0784
0.6741 0.3259 0.7449
0.7183 0.6468 0.5784
0.9222 0.4572 0.3229
0.9960 0.0040 0.7758

=====

NaCa2MgRe (PBE-GGA, optimized geometry); ΔE_f = 1.0662 eV per atom; ρ = 3.12 g/cm3; uncorrected energy = -14.0 eV per cell; volume = 167.06 Å³/cell; Fermi-level density of states = 6.5 states/eV per cell
1.0
5.8158 0.0000 0.0000
0.0000 5.8158 0.0000
0.0000 0.0000 4.9392
Na Ca Mg Re
1 2 1 1
direct
0.0000 0.0000 0.0000
0.0000 0.5000 0.5000
0.5000 0.0000 0.5000
0.5000 0.5000 0.5000
0.5000 0.5000 0.0000

=====

Be3Al (PBE-GGA, optimized geometry); ΔE_f = 0.3018 eV per atom; ρ = 2.09 g/cm3; uncorrected energy = -27.4 eV per cell; volume = 85.88 Å³/cell; Fermi-level density of states = 2.6 states/eV per cell
1.0
4.4119 0.0000 0.0000
0.0000 4.4119 0.0000
0.0000 0.0000 4.4119
Be Al
6 2
direct
0.0000 0.2500 0.5000
0.0000 0.7500 0.5000
0.2500 0.5000 0.0000
0.5000 0.0000 0.2500
0.5000 0.0000 0.7500
0.7500 0.5000 0.0000
0.0000 0.0000 0.0000
0.5000 0.5000 0.5000

=====

Fermi-level density of states of number 5 (Rb2BeCr)?
7.2 states/eV per cell